1.
This record from Alexandria via LeMat-Bulk describes a relaxed structure of BiSbPt. The functional is PBEsol.

Cell and atoms, written as extended XYZ:
```
12
Lattice="6.587 0.000 0.000 0.000 6.587 0.000 0.000 0.000 6.587" Properties=species:S:1:pos:R:3 pbc="T T T"
Bi 0.849 5.738 2.444
Sb 4.129 5.751 0.836
Pt 0.065 3.229 3.358
Sb 2.458 2.458 2.458
Pt 3.358 0.065 3.229
Pt 6.522 6.522 6.522
Sb 0.836 4.129 5.751
Bi 4.143 4.143 4.143
Bi 2.444 0.849 5.738
Pt 3.229 3.358 0.065
Sb 5.751 0.836 4.129
Bi 5.738 2.444 0.849
```

Summary:
Energy relative to the elements, uncorrected, eV/atom: -0.370
N(E_F), states/eV/f.u.: 0.7
Calculated volume, A^3/atom: 23.82

---

2.
This record from Alexandria via LeMat-Bulk describes a relaxed structure of Bi2SbPt2. The functional is PBEsol.

Cell and atoms, written as extended XYZ:
```
10
Lattice="4.014 0.000 0.000 0.000 7.451 0.000 0.000 0.000 7.451" Properties=species:S:1:pos:R:3 pbc="T T T"
Bi 2.007 6.232 2.507
Pt 0.000 2.731 6.457
Sb 0.000 0.000 0.000
Bi 2.007 2.507 1.219
Pt 0.000 6.457 4.720
Sb 0.000 3.726 3.726
Bi 2.007 4.944 6.232
Pt 0.000 0.995 2.731
Pt 0.000 4.720 0.995
Bi 2.007 1.219 4.944
```

Summary:
Energy relative to the elements, uncorrected, eV/atom: -0.104
N(E_F), states/eV/f.u.: 2.5
Calculated volume, A^3/atom: 22.29

---

3.
This record from Alexandria via LeMat-Bulk describes a relaxed structure of Bi2Sb2Pt. The functional is PBEsol.

Cell and atoms, written as extended XYZ:
```
10
Lattice="-1.864 5.816 1.653 1.586 -1.303 6.375 6.200 2.292 -1.073" Properties=species:S:1:pos:R:3 pbc="T T T"
Bi 4.570 4.359 1.926
Bi 1.285 3.366 1.716
Sb 5.373 0.379 4.728
Bi 4.637 3.439 5.239
Pt 3.893 0.494 2.651
Sb 1.953 -0.504 3.977
Pt 0.000 0.000 0.000
Sb 2.412 0.610 0.573
Bi 1.351 2.446 5.029
Sb 5.833 1.493 1.324
```

Summary:
Energy relative to the elements, uncorrected, eV/atom: -0.033
N(E_F), states/eV/f.u.: 3.0
Calculated volume, A^3/atom: 28.38

---

4.
This record from Alexandria via LeMat-Bulk describes a relaxed structure of Sc2BiPt2. The functional is PBEsol.

Cell and atoms, written as extended XYZ:
```
10
Lattice="-2.836 -0.515 -1.569 3.459 -5.103 -4.578 -1.721 -5.610 4.953" Properties=species:S:1:pos:R:3 pbc="T T T"
Bi 0.000 0.000 0.000
Bi 0.869 -5.356 0.188
Sc -0.529 -2.891 -1.527
Pt -0.215 -6.780 2.616
Pt 1.931 -7.973 -0.873
Pt 1.954 -3.932 -2.240
Pt -0.193 -2.740 1.248
Sc 0.899 -6.427 -2.946
Sc -0.569 -8.337 0.333
Sc -1.996 -4.801 1.753
```

Summary:
N(E_F), states/eV/f.u.: 2.8
Energy of formation, meV/atom: -1002
Calculated volume, A^3/atom: 19.35

---

Among the records above, which one has the lowest N(E_F)? BiSbPt